[1]
Below is a geometry-optimized Y10Si6B structure, with properties calculated at the PBE level.

abc: 8.5223 8.5223 6.4163
angles: 90.00 90.00 120.00
Fractional coordinates of all 17 atoms:
Y 0.0000 0.2437 0.2338
Y 0.0000 0.7563 0.7662
Y 0.2437 0.0000 0.2338
Y 0.2437 0.2437 0.7662
Y 0.3333 0.6667 0.0000
Y 0.3333 0.6667 0.5000
Y 0.6667 0.3333 0.0000
Y 0.6667 0.3333 0.5000
Y 0.7563 0.0000 0.7662
Y 0.7563 0.7563 0.2338
Si 0.0000 0.3957 0.7527
Si 0.0000 0.6043 0.2473
Si 0.3957 0.0000 0.7527
Si 0.3957 0.3957 0.2473
Si 0.6043 0.0000 0.2473
Si 0.6043 0.6043 0.7527
B 0.0000 0.0000 0.0000

DFT total energy: -115.0 eV/cell

=====

[2]
Below is a geometry-optimized TbTh2Fe2 structure, with properties calculated at the PBE level.

abc: 8.0249 8.0249 3.9332
angles: 90.00 90.00 152.14
Fractional coordinates of all 5 atoms:
Tb 0.0000 0.0000 0.0000
Th 0.3534 0.6466 0.5000
Th 0.6466 0.3534 0.5000
Fe 0.2056 0.7944 0.0000
Fe 0.7944 0.2056 0.0000

ΔE to the lowest computed polymorph: 0 meV/atom
ΔH_f (0 K): -0.013 eV/atom

=====

[3]
Below is a geometry-optimized RbCd2F4 structure, with properties calculated at the PBE level.

abc: 6.3773 7.0010 7.8588
angles: 114.66 107.02 97.86
Fractional coordinates of all 14 atoms:
Rb 0.0000 0.0000 0.0000
Rb 0.3599 0.7778 0.6425
Cd 0.1010 0.2850 0.6841
Cd 0.5561 0.3420 0.7668
Cd 0.6449 0.8477 0.2929
Cd 0.6776 0.3731 0.3209
F 0.4234 0.5634 0.2897
F 0.4284 0.0736 0.2747
F 0.6286 0.7154 0.9767
F 0.6436 0.2164 0.9961
F 0.7594 0.0737 0.6495
F 0.8347 0.4949 0.6799
F 0.9087 0.1542 0.3423
F 0.9131 0.6975 0.4046

DFT total energy: -50.6 eV/cell